First-principles (PBE) data for a relaxed structure of La4Pr7Sm, as listed in Alexandria.

Summary:
* energy above the lowest structure with this stoichiometry: 0.198 eV per atom
* SG: C2/m, No. 12

a = 6.9119 Å, b = 6.9119 Å, c = 13.2181 Å
α = 114.33°, β = 114.33°, γ = 53.42°
Fractional positions:
La 0.0601 0.0601 0.3268
La 0.3621 0.3621 0.2229
La 0.6379 0.6379 0.7771
La 0.9399 0.9399 0.6732
Pr 0.0000 0.0000 0.0000
Pr 0.2108 0.2108 0.9220
Pr 0.2475 0.2475 0.6821
Pr 0.3672 0.3672 0.4987
Pr 0.6328 0.6328 0.5013
Pr 0.7525 0.7525 0.3179
Pr 0.7892 0.7892 0.0780
Sm 0.5000 0.5000 0.0000

---

First-principles (PBE) data for a relaxed structure of LaPrSm3, as listed in Alexandria.

Summary:
* energy above the lowest structure with this stoichiometry: 0.000 eV per atom
* SG: Pnma, No. 62

a = 10.3697 Å, b = 3.6777 Å, c = 18.3360 Å
α = 90.00°, β = 90.00°, γ = 90.00°
Fractional positions:
La 0.1251 0.2500 0.0499
La 0.3749 0.7500 0.5499
La 0.6251 0.2500 0.4501
La 0.8749 0.7500 0.9501
Pr 0.1224 0.2500 0.6507
Pr 0.3776 0.7500 0.1507
Pr 0.6224 0.2500 0.8493
Pr 0.8776 0.7500 0.3493
Sm 0.1244 0.2500 0.4492
Sm 0.1256 0.2500 0.2502
Sm 0.1264 0.2500 0.8494
Sm 0.3736 0.7500 0.3494
Sm 0.3744 0.7500 0.7502
Sm 0.3756 0.7500 0.9492
Sm 0.6244 0.2500 0.0508
Sm 0.6256 0.2500 0.2498
Sm 0.6264 0.2500 0.6506
Sm 0.8736 0.7500 0.1506
Sm 0.8744 0.7500 0.7498
Sm 0.8756 0.7500 0.5508

---

First-principles (PBE) data for a relaxed structure of La2Pr6Sm5, as listed in Alexandria.

Summary:
* SG: Pbam, No. 55
* energy: -4.687 eV per atom

a = 12.0424 Å, b = 21.0054 Å, c = 3.7009 Å
α = 90.00°, β = 90.00°, γ = 90.00°
Fractional positions:
La 0.1711 0.2178 0.0000
La 0.3289 0.7178 0.0000
La 0.6711 0.2822 0.0000
La 0.8289 0.7822 0.0000
Pr 0.0604 0.9239 0.0000
Pr 0.0776 0.6360 0.0000
Pr 0.1804 0.3734 0.5000
Pr 0.3196 0.8734 0.5000
Pr 0.4224 0.1360 0.0000
Pr 0.4396 0.4239 0.0000
Pr 0.5604 0.5761 0.0000
Pr 0.5776 0.8640 0.0000
Pr 0.6804 0.1266 0.5000
Pr 0.8196 0.6266 0.5000
Pr 0.9224 0.3640 0.0000
Pr 0.9396 0.0761 0.0000
Sm 0.0000 0.5000 0.5000
Sm 0.0884 0.7795 0.5000
Sm 0.2002 0.0559 0.5000
Sm 0.2998 0.5559 0.5000
Sm 0.4116 0.2795 0.5000
Sm 0.5000 0.0000 0.5000
Sm 0.5884 0.7205 0.5000
Sm 0.7002 0.4441 0.5000
Sm 0.7998 0.9441 0.5000
Sm 0.9116 0.2205 0.5000

---

First-principles (PBE) data for a relaxed structure of La9Pr11Sm4, as listed in Alexandria.

Summary:
* SG: Cmmm, No. 65
* energy: -4.779 eV per atom

a = 16.2453 Å, b = 16.2453 Å, c = 3.7409 Å
α = 90.00°, β = 90.00°, γ = 117.39°
Fractional positions:
La 0.0000 0.0000 0.0000
La 0.1126 0.6736 0.0000
La 0.2960 0.4800 0.0000
La 0.3263 0.8874 0.0000
La 0.4800 0.2960 0.0000
La 0.5200 0.7040 0.0000
La 0.6736 0.1126 0.0000
La 0.7040 0.5200 0.0000
La 0.8874 0.3263 0.0000
Pr 0.0977 0.4652 0.5000
Pr 0.1212 0.8788 0.5000
Pr 0.2741 0.2741 0.5000
Pr 0.3154 0.6846 0.5000
Pr 0.4652 0.0977 0.5000
Pr 0.5000 0.5000 0.5000
Pr 0.5348 0.9023 0.5000
Pr 0.6846 0.3154 0.5000
Pr 0.7259 0.7259 0.5000
Pr 0.8788 0.1212 0.5000
Pr 0.9023 0.5348 0.5000
Sm 0.0814 0.2620 0.0000
Sm 0.2620 0.0814 0.0000
Sm 0.7380 0.9186 0.0000
Sm 0.9186 0.7380 0.0000

---

First-principles (PBE) data for a relaxed structure of LaPr5Sm, as listed in Alexandria.

Summary:
* energy above the lowest structure with this stoichiometry: 0.000 eV per atom
* SG: P2_1/m, No. 11

a = 9.6922 Å, b = 3.7492 Å, c = 14.4949 Å
α = 90.00°, β = 104.81°, γ = 90.00°
Fractional positions:
La 0.0987 0.2500 0.1162
La 0.9013 0.7500 0.8838
Pr 0.0046 0.7500 0.3796
Pr 0.1986 0.2500 0.8777
Pr 0.3308 0.2500 0.5077
Pr 0.3514 0.7500 0.7220
Pr 0.4086 0.7500 0.0767
Pr 0.5914 0.2500 0.9233
Pr 0.6486 0.2500 0.2780
Pr 0.6692 0.7500 0.4923
Pr 0.8014 0.7500 0.1223
Pr 0.9954 0.2500 0.6204
Sm 0.3352 0.7500 0.3022
Sm 0.6648 0.2500 0.6978

---

First-principles (PBE) data for a relaxed structure of La2PrSm, as listed in Alexandria.

Summary:
* energy above the lowest structure with this stoichiometry: 0.000 eV per atom
* SG: P4/mmm, No. 123

a = 5.2432 Å, b = 5.2432 Å, c = 5.2043 Å
α = 90.00°, β = 90.00°, γ = 90.00°
Fractional positions:
La 0.0000 0.5000 0.0000
La 0.5000 0.0000 0.0000
Pr 0.0000 0.0000 0.5000
Sm 0.5000 0.5000 0.5000

---

First-principles (PBE) data for a relaxed structure of La12Pr7Sm, as listed in Alexandria.

Summary:
* energy above the lowest structure with this stoichiometry: 0.000 eV per atom
* SG: R-3, No. 148

a = 8.9983 Å, b = 8.9983 Å, c = 8.9983 Å
α = 89.38°, β = 89.38°, γ = 89.38°
Fractional positions:
La 0.0128 0.3576 0.8934
La 0.1066 0.9872 0.6424
La 0.2204 0.7557 0.3555
La 0.2443 0.6445 0.7796
La 0.3555 0.2204 0.7557
La 0.3576 0.8934 0.0128
La 0.6424 0.1066 0.9872
La 0.6445 0.7796 0.2443
La 0.7557 0.3555 0.2204
La 0.7796 0.2443 0.6445
La 0.8934 0.0128 0.3576
La 0.9872 0.6424 0.1066
Pr 0.0000 0.0000 0.0000
Pr 0.1149 0.3590 0.4271
Pr 0.3590 0.4271 0.1149
Pr 0.4271 0.1149 0.3590
Pr 0.5729 0.8851 0.6410
Pr 0.6410 0.5729 0.8851
Pr 0.8851 0.6410 0.5729
Sm 0.5000 0.5000 0.5000

---

First-principles (PBE) data for a relaxed structure of La12PrSm5, as listed in Alexandria.

Summary:
* SG: C2/m, No. 12
* energy: -4.844 eV per atom

a = 11.0978 Å, b = 11.0978 Å, c = 6.4272 Å
α = 106.57°, β = 106.57°, γ = 59.84°
Fractional positions:
La 0.0020 0.6645 0.1658
La 0.1638 0.5022 0.6656
La 0.1677 0.8323 0.0000
La 0.3302 0.6698 0.5000
La 0.3355 0.9980 0.8342
La 0.4978 0.8362 0.3344
La 0.5022 0.1638 0.6656
La 0.6645 0.0020 0.1658
La 0.6698 0.3302 0.5000
La 0.8323 0.1677 0.0000
La 0.8362 0.4978 0.3344
La 0.9980 0.3355 0.8342
Pr 0.5000 0.5000 0.0000
Sm 0.0000 0.0000 0.5000
Sm 0.1667 0.1667 0.3343
Sm 0.3329 0.3329 0.1669
Sm 0.6671 0.6671 0.8331
Sm 0.8333 0.8333 0.6657

---

Repeat the fourth record exactly.
First-principles (PBE) data for a relaxed structure of La9Pr11Sm4, as listed in Alexandria.

Summary:
* SG: Cmmm, No. 65
* energy: -4.779 eV per atom

a = 16.2453 Å, b = 16.2453 Å, c = 3.7409 Å
α = 90.00°, β = 90.00°, γ = 117.39°
Fractional positions:
La 0.0000 0.0000 0.0000
La 0.1126 0.6736 0.0000
La 0.2960 0.4800 0.0000
La 0.3263 0.8874 0.0000
La 0.4800 0.2960 0.0000
La 0.5200 0.7040 0.0000
La 0.6736 0.1126 0.0000
La 0.7040 0.5200 0.0000
La 0.8874 0.3263 0.0000
Pr 0.0977 0.4652 0.5000
Pr 0.1212 0.8788 0.5000
Pr 0.2741 0.2741 0.5000
Pr 0.3154 0.6846 0.5000
Pr 0.4652 0.0977 0.5000
Pr 0.5000 0.5000 0.5000
Pr 0.5348 0.9023 0.5000
Pr 0.6846 0.3154 0.5000
Pr 0.7259 0.7259 0.5000
Pr 0.8788 0.1212 0.5000
Pr 0.9023 0.5348 0.5000
Sm 0.0814 0.2620 0.0000
Sm 0.2620 0.0814 0.0000
Sm 0.7380 0.9186 0.0000
Sm 0.9186 0.7380 0.0000

---

> Which formula does entry 7 have?

La12Pr7Sm